{
  "formula": "RbNaCrSe3",
  "functional": "PBE",
  "state": "optimized geometry",
  "magmom_total_mub_per_fu": 2.0,
  "raw_formation_energy_mev_per_atom": -781,
  "dos_at_fermi_per_ev_fu": 3.67,
  "total_energy_ev_per_atom": -4.508,
  "vol_a3_per_atom": 29.85,
  "mass_density_g_cm3": 3.68,
  "space_group": "Cmcm, No. 63",
  "lattice": [[3.725, -6.933, 0.000], [3.725, 6.933, 0.000], [0.000, 0.000, 6.935]],
  "species": ["Rb", "Rb", "Na", "Na", "Cr", "Cr", "Se", "Se", "Se", "Se", "Se", "Se"],
  "frac_coords": [[0.227, 0.773, 0.750], [0.773, 0.227, 0.250], [0.425, 0.575, 0.250], [0.575, 0.425, 0.750], [0.054, 0.946, 0.250], [0.946, 0.054, 0.750], [0.214, 0.214, 0.000], [0.214, 0.214, 0.500], [0.220, 0.780, 0.250], [0.780, 0.220, 0.750], [0.786, 0.786, 0.000], [0.786, 0.786, 0.500]]
}

{
  "formula": "RbNa2CrSe",
  "functional": "PBE",
  "state": "optimized geometry",
  "magmom_total_mub_per_fu": 4.8,
  "raw_formation_energy_mev_per_atom": -16,
  "dos_at_fermi_per_ev_fu": 3.21,
  "total_energy_ev_per_atom": -3.359,
  "vol_a3_per_atom": 35.73,
  "mass_density_g_cm3": 2.44,
  "space_group": "P4/mmm, No. 123",
  "lattice": [[5.952, 0.000, 0.000], [0.000, 5.952, 0.000], [0.000, 0.000, 5.043]],
  "species": ["Rb", "Na", "Na", "Cr", "Se"],
  "frac_coords": [[0.000, 0.000, 0.000], [0.000, 0.500, 0.500], [0.500, 0.000, 0.500], [0.500, 0.500, 0.000], [0.500, 0.500, 0.500]]
}

{
  "formula": "RbNaCrTc2",
  "functional": "PBE",
  "state": "optimized geometry",
  "magmom_total_mub_per_fu": 2.3,
  "dos_at_fermi_per_ev_fu": 8.33,
  "total_energy_ev_per_atom": -3.441,
  "vol_a3_per_atom": 22.10,
  "delta_e_f_ev_per_atom": 3.087,
  "mass_density_g_cm3": 5.36,
  "space_group": "P4/mmm, No. 123",
  "lattice": [[4.831, 0.000, 0.000], [0.000, 4.831, 0.000], [0.000, 0.000, 4.734]],
  "species": ["Rb", "Na", "Cr", "Tc", "Tc"],
  "frac_coords": [[0.000, 0.000, 0.000], [0.000, 0.000, 0.500], [0.500, 0.500, 0.500], [0.000, 0.500, 0.000], [0.500, 0.000, 0.000]]
}

{
  "formula": "RbNaCrTe3",
  "functional": "PBE",
  "state": "optimized geometry",
  "magmom_total_mub_per_fu": 2.0,
  "raw_formation_energy_mev_per_atom": -509,
  "dos_at_fermi_per_ev_fu": 3.48,
  "total_energy_ev_per_atom": -4.065,
  "vol_a3_per_atom": 37.69,
  "mass_density_g_cm3": 3.99,
  "space_group": "Cmcm, No. 63",
  "lattice": [[4.006, -7.570, 0.000], [4.006, 7.570, 0.000], [0.000, 0.000, 7.456]],
  "species": ["Rb", "Rb", "Na", "Na", "Cr", "Cr", "Te", "Te", "Te", "Te", "Te", "Te"],
  "frac_coords": [[0.213, 0.787, 0.750], [0.787, 0.213, 0.250], [0.422, 0.578, 0.250], [0.578, 0.422, 0.750], [0.055, 0.945, 0.250], [0.945, 0.055, 0.750], [0.217, 0.217, 0.000], [0.217, 0.217, 0.500], [0.222, 0.778, 0.250], [0.778, 0.222, 0.750], [0.783, 0.783, 0.000], [0.783, 0.783, 0.500]]
}

{
  "formula": "Rb2NaZrCr",
  "functional": "PBE",
  "state": "optimized geometry",
  "magmom_total_mub_per_fu": 8.4,
  "dos_at_fermi_per_ev_fu": 6.82,
  "total_energy_ev_per_atom": -2.752,
  "vol_a3_per_atom": 46.70,
  "delta_e_f_ev_per_atom": 1.533,
  "mass_density_g_cm3": 2.40,
  "space_group": "P4/mmm, No. 123",
  "lattice": [[6.387, 0.000, 0.000], [0.000, 6.387, 0.000], [0.000, 0.000, 5.725]],
  "species": ["Rb", "Rb", "Na", "Zr", "Cr"],
  "frac_coords": [[0.000, 0.500, 0.000], [0.500, 0.000, 0.000], [0.000, 0.000, 0.000], [0.500, 0.500, 0.500], [0.000, 0.000, 0.500]]
}

{
  "formula": "Na3CrRe",
  "functional": "PBE",
  "state": "optimized geometry",
  "magmom_total_mub_per_fu": 9.3,
  "dos_at_fermi_per_ev_fu": 5.11,
  "total_energy_ev_per_atom": -3.251,
  "polymorph_energy_kj_per_mol_fu": 19,
  "vol_a3_per_atom": 34.46,
  "delta_e_f_ev_per_atom": 1.954,
  "mass_density_g_cm3": 2.96,
  "space_group": "Pm-3m, No. 221",
  "lattice": [[5.565, 0.000, 0.000], [0.000, 5.565, 0.000], [0.000, 0.000, 5.565]],
  "species": ["Na", "Na", "Na", "Cr", "Re"],
  "frac_coords": [[0.000, 0.000, 0.500], [0.000, 0.500, 0.000], [0.500, 0.000, 0.000], [0.000, 0.000, 0.000], [0.500, 0.500, 0.500]]
}